No. 1
# ZnCu8Ge2 (PBE-GGA, relaxed)
# Mass density = 8.14 g/cm3
# Raw total energy = -86.2 eV/cell
# Energy of formation = 2 kJ per mole of atoms
data_ZnCu8Ge2
_space_group_name_H-M_alt 'I m m m'
_space_group_IT_number 71
_space_group_name_Hall '-I 2 2'
_cell_length_a 3.861
_cell_length_b 6.725
_cell_length_c 11.294
_cell_angle_alpha 90.00
_cell_angle_beta 90.00
_cell_angle_gamma 90.00
loop_
_atom_site_label
_atom_site_type_symbol
_atom_site_fract_x
_atom_site_fract_y
_atom_site_fract_z
_atom_site_occupancy
Zn1 Zn 0.000 0.000 0.000 1
Cu1 Cu 0.000 0.223 0.500 1
Cu2 Cu 0.000 0.267 0.159 1
Cu3 Cu 0.000 0.500 0.341 1
Ge1 Ge 0.000 0.000 0.323 1

No. 2
# Zn8Cu6Ge (PBE-GGA, relaxed)
# Mass density = 7.28 g/cm3
# Raw total energy = -119.5 eV/cell
# Energy of formation = -3 kJ per mole of atoms
data_Zn8Cu6Ge
_space_group_name_H-M_alt 'R -3'
_space_group_IT_number 148
_space_group_name_Hall '-R 3'
_cell_length_a 7.1120
_cell_length_b 7.1120
_cell_length_c 15.2721
_cell_angle_alpha 90.00
_cell_angle_beta 90.00
_cell_angle_gamma 120.00
loop_
_atom_site_label
_atom_site_type_symbol
_atom_site_fract_x
_atom_site_fract_y
_atom_site_fract_z
_atom_site_occupancy
Zn1 Zn 0.0000 0.0000 0.1638 1
Zn2 Zn 0.0030 0.3450 0.3772 1
Cu1 Cu 0.0007 0.6651 0.1212 1
Ge1 Ge 0.0000 0.0000 0.5000 1

No. 3
# Zn2Cu6Ge (PBE-GGA, relaxed)
# Mass density = 6.14 g/cm3
# Raw total energy = -54.4 eV/cell
# Energy of formation = 49 kJ per mole of atoms
data_Zn2Cu6Ge
_space_group_name_H-M_alt 'P 42/m n m'
_space_group_IT_number 136
_space_group_name_Hall '-P 4n 2n'
_cell_length_a 4.981
_cell_length_b 4.981
_cell_length_c 12.753
_cell_angle_alpha 90.00
_cell_angle_beta 90.00
_cell_angle_gamma 90.00
loop_
_atom_site_label
_atom_site_type_symbol
_atom_site_fract_x
_atom_site_fract_y
_atom_site_fract_z
_atom_site_occupancy
Zn1 Zn 0.000 0.000 0.167 1
Cu1 Cu 0.169 0.169 0.336 1
Cu2 Cu 0.170 0.170 0.000 1
Ge1 Ge 0.000 0.000 0.500 1

No. 4
# Zn4Cu7Ge (PBE-GGA, relaxed)
# Mass density = 8.29 g/cm3
# Raw total energy = -39.0 eV/cell
# Energy of formation = -5 kJ per mole of atoms
data_Zn4Cu7Ge
_space_group_name_H-M_alt 'P -1'
_space_group_IT_number 2
_space_group_name_Hall '-P 1'
_cell_length_a 4.620
_cell_length_b 5.248
_cell_length_c 6.950
_cell_angle_alpha 76.92
_cell_angle_beta 72.26
_cell_angle_gamma 89.16
loop_
_atom_site_label
_atom_site_type_symbol
_atom_site_fract_x
_atom_site_fract_y
_atom_site_fract_z
_atom_site_occupancy
Zn1 Zn 0.163 0.171 0.338 1
Zn2 Zn 0.327 0.578 0.668 1
Cu1 Cu 0.002 0.251 0.001 1
Cu2 Cu 0.169 0.669 0.329 1
Cu3 Cu 0.334 0.083 0.665 1
Cu4 Cu 0.500 0.500 0.000 1
Ge1 Ge 0.500 0.000 0.000 1

No. 5
# Zn2CuGe2 (PBE-GGA, relaxed)
# Mass density = 6.53 g/cm3
# Raw total energy = -29.7 eV/cell
# Energy of formation = 20 kJ per mole of atoms
data_Zn2CuGe2
_space_group_name_H-M_alt 'P 4/m b m'
_space_group_IT_number 127
_space_group_name_Hall '-P 4 2ab'
_cell_length_a 6.479
_cell_length_b 6.479
_cell_length_c 4.112
_cell_angle_alpha 90.00
_cell_angle_beta 90.00
_cell_angle_gamma 90.00
loop_
_atom_site_label
_atom_site_type_symbol
_atom_site_fract_x
_atom_site_fract_y
_atom_site_fract_z
_atom_site_occupancy
Zn1 Zn 0.167 0.333 0.000 1
Cu1 Cu 0.000 0.000 0.500 1
Ge1 Ge 0.147 0.647 0.500 1

No. 6
# ZnCuGe3 (PBE-GGA, relaxed)
# Mass density = 5.17 g/cm3
# Raw total energy = -15.1 eV/cell
# Energy of formation = 79 kJ per mole of atoms
data_ZnCuGe3
_space_group_name_H-M_alt 'P m -3 m'
_space_group_IT_number 221
_space_group_name_Hall '-P 4 2 3'
_cell_length_a 4.812
_cell_length_b 4.812
_cell_length_c 4.812
_cell_angle_alpha 90.00
_cell_angle_beta 90.00
_cell_angle_gamma 90.00
loop_
_atom_site_label
_atom_site_type_symbol
_atom_site_fract_x
_atom_site_fract_y
_atom_site_fract_z
_atom_site_occupancy
Zn1 Zn 0.000 0.000 0.000 1
Cu1 Cu 0.500 0.500 0.500 1
Ge1 Ge 0.000 0.000 0.500 1

No. 7
# Zn2Cu6Ge (PBE-GGA, relaxed)
# Mass density = 8.37 g/cm3
# Raw total energy = -32.0 eV/cell
# Energy of formation = -3 kJ per mole of atoms
data_Zn2Cu6Ge
_space_group_name_H-M_alt 'P -1'
_space_group_IT_number 2
_space_group_name_Hall '-P 1'
_cell_length_a 4.464
_cell_length_b 4.601
_cell_length_c 6.786
_cell_angle_alpha 73.59
_cell_angle_beta 74.81
_cell_angle_gamma 61.31
loop_
_atom_site_label
_atom_site_type_symbol
_atom_site_fract_x
_atom_site_fract_y
_atom_site_fract_z
_atom_site_occupancy
Zn1 Zn 0.250 0.041 0.339 1
Cu1 Cu 0.089 0.283 0.667 1
Cu2 Cu 0.333 0.832 0.998 1
Cu3 Cu 0.428 0.611 0.666 1
Ge1 Ge 0.000 0.500 0.000 1

No. 8
# Zn5Cu12Ge2 (PBE-GGA, relaxed)
# Mass density = 8.07 g/cm3
# Raw total energy = -129.9 eV/cell
# Energy of formation = -1 kJ per mole of atoms
data_Zn5Cu12Ge2
_space_group_name_H-M_alt 'C 1 2/m 1'
_space_group_IT_number 12
_space_group_name_Hall '-C 2y'
_cell_length_a 11.346
_cell_length_b 7.821
_cell_length_c 5.725
_cell_angle_alpha 90.00
_cell_angle_beta 90.63
_cell_angle_gamma 90.00
loop_
_atom_site_label
_atom_site_type_symbol
_atom_site_fract_x
_atom_site_fract_y
_atom_site_fract_z
_atom_site_occupancy
Zn1 Zn 0.000 0.000 0.000 1
Zn2 Zn 0.170 0.500 0.406 1
Zn3 Zn 0.237 0.000 0.011 1
Cu1 Cu 0.048 0.500 0.794 1
Cu2 Cu 0.104 0.270 0.104 1
Cu3 Cu 0.127 0.000 0.398 1
Cu4 Cu 0.196 0.253 0.700 1
Ge1 Ge 0.000 0.249 0.500 1